This record from Alexandria describes a relaxed YGa2Pb2 crystal. The functional is PBE.

Output
* calculated density: 8.0 Mg/m³
* total DFT energy (no corrections): -4.039 eV/atom
* E above lowest polymorph: 0.625 eV/f.u.
* energy relative to the elements: -25 kJ/mol of formula units
* V: 26.82 Å³ per atom

Cell lengths 4.110, 4.110, 15.872 Å; angles 90.00, 90.00, 90.00 degrees
Space group I4/mmm (No. 139)
One atom of each set of equivalent atoms:
Y: 0.000 0.000 0.000
Ga: 0.000 0.500 0.250
Pb: 0.000 0.000 0.397